Below is Ho2BeSnPt6 after structural relaxation, with properties calculated at the GGA-PBE level.

Unit cell a=8.5021 b=8.5021 c=8.5021 alpha=38.20 beta=38.20 gamma=38.20
Closest atoms and distances in Å follow each position.
Sites, in units of the cell vectors:
Ho 0.2001 0.2001 0.2001  9 Pt 2.94-3.00
Ho 0.7999 0.7999 0.7999  9 Pt 2.94-3.00
Be 0.5000 0.5000 0.5000  6 Pt 2.35
Sn 0.0000 0.0000 0.0000  6 Pt 2.73
Pt 0.2436 0.7384 0.7384  1 Be 2.35
Pt 0.2616 0.2616 0.7564  1 Be 2.35
Pt 0.2616 0.7564 0.2616  1 Be 2.35
Pt 0.7384 0.2436 0.7384  1 Be 2.35
Pt 0.7384 0.7384 0.2436  1 Be 2.35
Pt 0.7564 0.2616 0.2616  1 Be 2.35

Computed properties:
Formation energy (meV/atom): -857


Below is CeSc2Rh4 after structural relaxation, with properties calculated at the GGA-PBE level.

Unit cell a=7.8491 b=7.8491 c=7.8491 alpha=33.75 beta=33.75 gamma=33.75
Closest atoms and distances in Å follow each position.
Sites, in units of the cell vectors:
Ce 0.0000 0.0000 0.0000  8 Rh 2.67-2.81
Sc 0.2368 0.2368 0.2368  7 Rh 2.58-2.87
Sc 0.7632 0.7632 0.7632  7 Rh 2.58-2.87
Rh 0.1205 0.1205 0.1205  4 Sc 2.58-2.68, 1 Ce 2.67
Rh 0.3778 0.3778 0.3778  3 Ce 2.81, 4 Sc 2.87-3.13, 3 Rh 3.13
Rh 0.6222 0.6222 0.6222  3 Ce 2.81, 4 Sc 2.87-3.13, 3 Rh 3.13
Rh 0.8795 0.8795 0.8795  4 Sc 2.58-2.68, 1 Ce 2.67

Computed properties:
Formation energy (meV/atom): -604


Below is La2OsNF after structural relaxation, with properties calculated at the GGA-PBE level.

Unit cell a=5.0568 b=5.0568 c=3.7927 alpha=90.00 beta=90.00 gamma=90.00
Closest atoms and distances in Å follow each position.
Sites, in units of the cell vectors:
La 0.0000 0.5000 0.0000  2 N 2.53
La 0.5000 0.0000 0.0000  2 N 2.53
Os 0.0000 0.0000 0.5000  8 La 3.16
N 0.5000 0.5000 0.0000  2 F 1.90
F 0.5000 0.5000 0.5000  2 N 1.90

Computed properties:
ΔE_f (raw) (kJ/mol of formula units): -170


Below is Ac2CuIr after structural relaxation, with properties calculated at the GGA-PBE level.

Unit cell a=7.9047 b=7.9047 c=7.9047 alpha=31.91 beta=31.91 gamma=31.91
Closest atoms and distances in Å follow each position.
Sites, in units of the cell vectors:
Ac 0.0000 0.0000 0.0000  3 Ir 3.00, 3 Cu 3.31
Ac 0.1879 0.1879 0.1879  3 Ir 2.99, 3 Cu 3.25
Cu 0.4294 0.4294 0.4294  6 Ac 3.25-3.31
Ir 0.5936 0.5936 0.5936  6 Ac 2.99-3.00

Computed properties:
E above lowest polymorph (meV/atom): 90
Formation energy (meV/atom): -360


Below is CrHPd2Pb after structural relaxation, with properties calculated at the GGA-PBE level.

Unit cell a=4.1961 b=4.1961 c=4.0817 alpha=90.00 beta=90.00 gamma=90.00
Closest atoms and distances in Å follow each position.
Sites, in units of the cell vectors:
Cr 0.0000 0.0000 0.0000  2 H 2.04
H 0.0000 0.0000 0.5000  2 Cr 2.04, 4 Pd 2.10
Pd 0.0000 0.5000 0.5000  2 H 2.10
Pd 0.5000 0.0000 0.5000  2 H 2.10
Pb 0.5000 0.5000 0.0000  8 Pd 2.93, 4 Cr 2.97

Computed properties:
E (eV/atom): -5.42


Below is Tl2NiMo after structural relaxation, with properties calculated at the GGA-PBE level.

Unit cell a=9.0182 b=9.0182 c=9.0182 alpha=19.91 beta=19.91 gamma=19.91
Closest atoms and distances in Å follow each position.
Sites, in units of the cell vectors:
Tl 0.2439 0.2439 0.2439  3 Ni 2.73, 3 Mo 2.98
Tl 0.7561 0.7561 0.7561  3 Ni 2.73, 3 Mo 2.98
Ni 0.5000 0.5000 0.5000  6 Tl 2.73
Mo 0.0000 0.0000 0.0000  6 Tl 2.98, 6 Mo 3.12

Computed properties:
E above lowest polymorph (meV/atom): 214
Formation energy (meV/atom): 643


Below is BaCdPt2 after structural relaxation, with properties calculated at the GGA-PBE level.

Unit cell a=6.1037 b=6.1037 c=6.1037 alpha=147.04 beta=130.60 gamma=60.67
Closest atoms and distances in Å follow each position.
Sites, in units of the cell vectors:
Ba 0.0000 0.0000 0.0000  8 Pt 3.09-3.45, 2 Cd 3.35
Cd 0.2940 0.7940 0.5000  6 Pt 2.89-3.18
Pt 0.5134 0.5134 0.0000  2 Pt 2.79, 2 Cd 2.89, 4 Ba 3.09
Pt 0.7206 0.2206 0.5000  2 Pt 2.79

Computed properties:
Formation energy (meV/atom): -245


Below is TmZn2 after structural relaxation, with properties calculated at the GGA-PBE level.

Unit cell a=5.9611 b=5.9611 c=5.9611 alpha=148.40 beta=148.40 gamma=45.29
Closest atoms and distances in Å follow each position.
Sites, in units of the cell vectors:
Tm 0.0000 0.0000 0.0000  8 Zn 3.05, 4 Tm 3.25
Zn 0.3171 0.3171 0.0000  4 Zn 2.73, 4 Tm 3.05
Zn 0.6829 0.6829 0.0000  4 Zn 2.73, 4 Tm 3.05

Computed properties:
Formation energy (meV/atom): -202


Below is SrZnGa2Rh after structural relaxation, with properties calculated at the GGA-PBE level.

Unit cell a=4.8002 b=4.8002 c=4.8956 alpha=90.00 beta=90.00 gamma=90.00
Closest atoms and distances in Å follow each position.
Sites, in units of the cell vectors:
Sr 0.0000 0.0000 0.0000  4 Zn 3.39, 8 Ga 3.43
Zn 0.5000 0.5000 0.0000  2 Rh 2.45
Ga 0.0000 0.5000 0.5000  2 Rh 2.40
Ga 0.5000 0.0000 0.5000  2 Rh 2.40
Rh 0.5000 0.5000 0.5000  4 Ga 2.40, 2 Zn 2.45

Computed properties:
Formation energy (meV/atom): -429


Below is Ce2Sm6Dy3Tm after structural relaxation, with properties calculated at the GGA-PBE level.

Unit cell a=6.1963 b=6.1963 c=11.8565 alpha=95.01 beta=95.01 gamma=120.01
Closest atoms and distances in Å follow each position.
Sites, in units of the cell vectors:
Ce 0.1666 0.8334 0.0000  6 Sm 3.56, 3 Ce 3.58, 3 Tm 3.58
Ce 0.8334 0.1666 0.0000  6 Sm 3.56, 3 Ce 3.58, 3 Tm 3.58
Sm 0.0815 0.4163 0.7513  2 Ce 3.56, 6 Sm 3.57-3.59, 1 Tm 3.57, 3 Dy 3.58-3.59
Sm 0.2489 0.2489 0.2491  2 Ce 3.56, 6 Sm 3.57-3.59, 1 Tm 3.57, 3 Dy 3.58
Sm 0.4163 0.0815 0.7513  2 Ce 3.56, 6 Sm 3.57-3.59, 1 Tm 3.57, 3 Dy 3.58-3.59
Sm 0.5837 0.9185 0.2487  2 Ce 3.56, 6 Sm 3.57-3.59, 1 Tm 3.57, 3 Dy 3.58-3.59
Sm 0.7511 0.7511 0.7509  2 Ce 3.56, 6 Sm 3.57-3.59, 1 Tm 3.57, 3 Dy 3.58
Sm 0.9185 0.5837 0.2487  2 Ce 3.56, 6 Sm 3.57-3.59, 1 Tm 3.57, 3 Dy 3.58-3.59
Dy 0.0000 0.0000 0.5000  6 Dy 3.57-3.58, 6 Sm 3.58-3.59
Dy 0.3338 0.6662 0.5000  6 Dy 3.57-3.58, 6 Sm 3.58-3.59
Dy 0.6662 0.3338 0.5000  6 Dy 3.57-3.58, 6 Sm 3.58-3.59
Tm 0.5000 0.5000 0.0000  6 Sm 3.57, 6 Ce 3.58

Computed properties:
Formation energy (meV/atom): 52


Below is Pm2FeTc2N6 after structural relaxation, with properties calculated at the GGA-PBE level.

Unit cell a=6.1473 b=6.1473 c=6.1473 alpha=56.71 beta=56.71 gamma=56.71
Closest atoms and distances in Å follow each position.
Sites, in units of the cell vectors:
Pm 0.2027 0.2027 0.2027  3 N 2.47
Pm 0.7973 0.7973 0.7973  3 N 2.47
Fe 0.0000 0.0000 0.0000  6 N 1.94
Tc 0.4248 0.4248 0.4248  3 N 1.85
Tc 0.5752 0.5752 0.5752  3 N 1.85
N 0.2256 0.7712 0.7712  1 Tc 1.85, 1 Fe 1.94
N 0.2288 0.2288 0.7744  1 Tc 1.85, 1 Fe 1.94
N 0.2288 0.7744 0.2288  1 Tc 1.85, 1 Fe 1.94
N 0.7712 0.2256 0.7712  1 Tc 1.85, 1 Fe 1.94
N 0.7712 0.7712 0.2256  1 Tc 1.85, 1 Fe 1.94
N 0.7744 0.2288 0.2288  1 Tc 1.85, 1 Fe 1.94

Computed properties:
ΔE_f (raw) (kJ/mol of formula units): -224


Below is CsLi2Ni after structural relaxation, with properties calculated at the GGA-PBE level.

Unit cell a=5.1639 b=5.1639 c=5.1639 alpha=60.00 beta=60.00 gamma=60.00
Closest atoms and distances in Å follow each position.
Sites, in units of the cell vectors:
Cs 0.0000 0.0000 0.0000  8 Li 3.16
Li 0.2500 0.2500 0.2500  4 Ni 3.16, 4 Cs 3.16
Li 0.7500 0.7500 0.7500  4 Cs 3.16, 4 Ni 3.16
Ni 0.5000 0.5000 0.5000  8 Li 3.16

Computed properties:
Formation energy (meV/atom): 620